{"formula": "Rb6Ni3Cl14", "functional": "PBE", "state": "relaxed", "cell": [[6.7838, 0.0000, 0.0000], [0.0000, 9.9870, -5.7660], [0.0000, 0.0000, 11.5320]], "species": ["Cl", "Cl", "Cl", "Ni", "Cl", "Cl", "Cl", "Rb", "Ni", "Ni", "Rb", "Cl", "Cl", "Rb", "Rb", "Cl", "Cl", "Cl", "Cl", "Cl", "Rb", "Rb", "Cl"], "frac_coords": [[0.9602, 0.0582, 0.1975], [0.4950, 0.0000, 0.0000], [0.9602, 0.1393, 0.9418], [0.4887, 0.6667, 0.3333], [0.4512, 0.2672, 0.4684], [0.6840, 0.7917, 0.5204], [0.4512, 0.5316, 0.7987], [0.7520, 0.4213, 0.9654], [0.8239, 0.0000, 0.0000], [0.3135, 0.3333, 0.6667], [0.2689, 0.9170, 0.7066], [0.6840, 0.7287, 0.2083], [0.6840, 0.4796, 0.2713], [0.2689, 0.7897, 0.0830], [0.7520, 0.5441, 0.5787], [0.9848, 0.3333, 0.6667], [0.9602, 0.8025, 0.8607], [0.2961, 0.6058, 0.4597], [0.4512, 0.2013, 0.7328], [0.2961, 0.5403, 0.1461], [0.7520, 0.0346, 0.4559], [0.2689, 0.2934, 0.2103], [0.2961, 0.8539, 0.3942]], "e_tot_ev_per_atom": -3.389, "raw_formation_energy_ev_per_atom": -1.26}